1.
This record from the Alexandria database describes a relaxed LaZnIn crystal. The functional is PBE.

Cell and atoms, written as extended XYZ:
```
3
Lattice="-1.762 1.762 6.113 1.762 -1.762 6.113 1.762 1.762 -6.113" Properties=species:S:1:pos:R:3 pbc="T T T"
La 0.000 0.000 0.000
Zn 0.000 0.000 4.060
In 0.000 0.000 8.545
```

Properties
Space group   No. 107
Energy relative to the elements   -0.30 eV per atom
Total moment   0.00 μB/cell
Electronic total energy   -0.1205 hartree per atom

=====

2.
This record from the Alexandria database describes a relaxed Th4Pt3Se crystal. The functional is PBE.

Cell and atoms, written as extended XYZ:
```
8
Lattice="4.320 -6.044 0.000 4.320 6.044 0.000 0.000 0.000 4.095" Properties=species:S:1:pos:R:3 pbc="T T T"
Th 2.063 0.000 2.047
Th 4.320 3.083 0.000
Th 4.320 -3.083 0.000
Th 6.576 0.000 2.047
Pt 0.000 0.000 0.000
Pt 2.160 3.022 2.047
Pt 2.160 -3.022 2.047
Se 4.320 0.000 0.000
```

Properties
Space group   No. 65
Total moment   0.00 μB/cell
Electronic total energy   -0.2814 hartree per atom

=====

3.
This record from the Alexandria database describes a relaxed ZrI3Cl crystal. The functional is PBE.

Cell and atoms, written as extended XYZ:
```
5
Lattice="5.679 0.000 0.000 0.000 5.679 0.000 0.000 0.000 5.679" Properties=species:S:1:pos:R:3 pbc="T T T"
Zr 0.000 0.000 0.000
I 0.000 0.000 2.840
I 0.000 2.840 0.000
I 2.840 0.000 0.000
Cl 2.840 2.840 2.840
```

Properties
Space group   No. 221
Total moment   0.03 μB/cell
Electronic total energy   -0.1293 hartree per atom
Offset from the most stable computed form   549 meV/atom